Run a
## ZrAgBr2 (PBE)

Data for an optimized crystal structure of ZrAgBr2.

Values from the calculation:
* D(E_F): 0.436 states/eV per atom
* calculated volume: 28.258 A^3/atom

Cell lengths 3.286, 3.286, 10.467 Å; angles 90.00, 90.00, 90.00 degrees
Fractional positions:
Zr 0.000 0.000 0.000
Ag 0.000 0.000 0.500
Br 0.500 0.500 0.160
Br 0.500 0.500 0.840



Run b
## ZrAgBr2 (PBE)

Data for an optimized crystal structure of ZrAgBr2.

Values from the calculation:
* D(E_F): 0.690 states/eV per atom
* calculated volume: 22.027 A^3/atom

Cell lengths 5.087, 5.087, 3.431 Å; angles 90.00, 90.00, 97.16 degrees
Fractional positions:
Zr 0.000 0.000 0.000
Ag 0.500 0.500 0.000
Br 0.000 0.500 0.500
Br 0.500 0.000 0.500



The most stable arrangement is run a, and the next structure is 0.400 eV/atom less stable.



Run a
## ZrAgBr2 (PBE)

Data for an optimized crystal structure of ZrAgBr2.

Values from the calculation:
* D(E_F): 0.486 states/eV per atom
* calculated volume: 25.864 A^3/atom

Cell lengths 3.509, 3.509, 8.403 Å; angles 90.00, 90.00, 90.00 degrees
Fractional positions:
Zr 0.000 0.000 0.000
Ag 0.500 0.500 0.193
Br 0.000 0.000 0.355
Br 0.500 0.500 0.787



Run b
## ZrAgBr2 (PBE)

Data for an optimized crystal structure of ZrAgBr2.

Values from the calculation:
* D(E_F): 0.478 states/eV per atom
* calculated volume: 27.593 A^3/atom

Cell lengths 7.540, 7.540, 7.540 Å; angles 155.15, 142.09, 45.87 degrees
Fractional positions:
Zr 0.000 0.000 0.000
Ag 0.182 0.682 0.500
Br 0.529 0.529 0.000
Br 0.840 0.340 0.500



The most stable arrangement is run a, and the next structure is 0.104 eV/atom less stable.



Run a
## AgC (PBE)

Data for an optimized crystal structure of AgC.

Values from the calculation:
* D(E_F): 0.493 states/eV per atom
* calculated volume: 13.229 A^3/atom

Cell lengths 4.214, 4.214, 4.214 Å; angles 60.00, 60.00, 60.00 degrees
Fractional positions:
Ag 0.125 0.125 0.125
Ag 0.875 0.875 0.875
C 0.375 0.375 0.375
C 0.625 0.625 0.625



Run b
## AgC (PBE)

Data for an optimized crystal structure of AgC.

Values from the calculation:
* D(E_F): 0.335 states/eV per atom
* calculated volume: 16.133 A^3/atom

Cell lengths 7.128, 7.128, 7.128 Å; angles 91.95, 91.95, 158.74 degrees
Fractional positions:
Ag 0.000 0.201 0.201
Ag 0.000 0.799 0.799
Ag 0.201 0.000 0.201
Ag 0.799 0.000 0.799
C 0.227 0.227 0.455
C 0.227 0.773 0.000
C 0.773 0.227 0.000
C 0.773 0.773 0.545



The most stable arrangement is run b, and the next structure is 1.844 eV/atom less stable.



Run a
## Ag4C3 (PBE)

Data for an optimized crystal structure of Ag4C3.

Values from the calculation:
* D(E_F): 0.192 states/eV per atom
* calculated volume: 13.667 A^3/atom

Cell lengths 4.450, 4.450, 5.577 Å; angles 90.00, 90.00, 120.00 degrees
Fractional positions:
Ag 0.000 0.000 0.245
Ag 0.000 0.000 0.755
Ag 0.333 0.667 0.500
Ag 0.667 0.333 0.500
C 0.000 0.500 0.000
C 0.500 0.000 0.000
C 0.500 0.500 0.000



Run b
## Ag4C3 (PBE)

Data for an optimized crystal structure of Ag4C3.

Values from the calculation:
* D(E_F): 0.423 states/eV per atom
* calculated volume: 15.406 A^3/atom

Cell lengths 4.760, 4.760, 4.760 Å; angles 90.00, 90.00, 90.00 degrees
Fractional positions:
Ag 0.225 0.225 0.775
Ag 0.225 0.775 0.225
Ag 0.775 0.225 0.225
Ag 0.775 0.775 0.775
C 0.000 0.500 0.500
C 0.500 0.000 0.500
C 0.500 0.500 0.000



Run c
## Ag4C3 (PBE)

Data for an optimized crystal structure of Ag4C3.

Values from the calculation:
* D(E_F): 0.894 states/eV per atom
* calculated volume: 13.896 A^3/atom

Cell lengths 4.599, 4.599, 4.599 Å; angles 90.00, 90.00, 90.00 degrees
Fractional positions:
Ag 0.000 0.000 0.000
Ag 0.000 0.500 0.500
Ag 0.500 0.000 0.500
Ag 0.500 0.500 0.000
C 0.000 0.000 0.500
C 0.000 0.500 0.000
C 0.500 0.000 0.000



The most stable arrangement is run c, and the next structure is 0.061 eV/atom less stable.



Run a
## Ag5C4 (PBE)

Data for an optimized crystal structure of Ag5C4.

Values from the calculation:
* D(E_F): 0.427 states/eV per atom
* calculated volume: 13.471 A^3/atom

Cell lengths 6.524, 6.524, 6.579 Å; angles 90.00, 90.00, 120.00 degrees
Fractional positions:
Ag 0.000 0.264 0.250
Ag 0.000 0.736 0.750
Ag 0.264 0.000 0.250
Ag 0.264 0.264 0.750
Ag 0.333 0.667 0.000
Ag 0.333 0.667 0.500
Ag 0.667 0.333 0.000
Ag 0.667 0.333 0.500
Ag 0.736 0.000 0.750
Ag 0.736 0.736 0.250
C 0.000 0.000 0.000
C 0.000 0.000 0.500
C 0.000 0.398 0.750
C 0.000 0.602 0.250
C 0.398 0.000 0.750
C 0.398 0.398 0.250
C 0.602 0.000 0.250
C 0.602 0.602 0.750



Run b
## Ag5C4 (PBE)

Data for an optimized crystal structure of Ag5C4.

Values from the calculation:
* D(E_F): 0.083 states/eV per atom
* calculated volume: 20.163 A^3/atom

Cell lengths 6.199, 6.199, 6.199 Å; angles 112.98, 112.98, 102.65 degrees
Fractional positions:
Ag 0.000 0.000 0.000
Ag 0.296 0.296 0.591
Ag 0.296 0.704 0.000
Ag 0.704 0.296 0.000
Ag 0.704 0.704 0.409
C 0.000 0.407 0.407
C 0.000 0.593 0.593
C 0.407 0.000 0.407
C 0.593 0.000 0.593



The most stable arrangement is run b, and the next structure is 0.933 eV/atom less stable.



Run a
## Ag5C3 (PBE)

Data for an optimized crystal structure of Ag5C3.

Values from the calculation:
* D(E_F): 0.509 states/eV per atom
* calculated volume: 14.829 A^3/atom

Cell lengths 6.239, 6.239, 7.038 Å; angles 90.00, 90.00, 120.00 degrees
Fractional positions:
Ag 0.000 0.259 0.250
Ag 0.000 0.741 0.750
Ag 0.259 0.000 0.250
Ag 0.259 0.259 0.750
Ag 0.333 0.667 0.000
Ag 0.333 0.667 0.500
Ag 0.667 0.333 0.000
Ag 0.667 0.333 0.500
Ag 0.741 0.000 0.750
Ag 0.741 0.741 0.250
C 0.000 0.395 0.750
C 0.000 0.605 0.250
C 0.395 0.000 0.750
C 0.395 0.395 0.250
C 0.605 0.000 0.250
C 0.605 0.605 0.750



Run b
## Ag5C3 (PBE)

Data for an optimized crystal structure of Ag5C3.

Values from the calculation:
* D(E_F): 0.417 states/eV per atom
* calculated volume: 14.008 A^3/atom

Cell lengths 6.878, 6.878, 6.878 Å; angles 100.00, 100.00, 130.74 degrees
Fractional positions:
Ag 0.000 0.500 0.500
Ag 0.035 0.184 0.719
Ag 0.184 0.466 0.150
Ag 0.316 0.035 0.850
Ag 0.466 0.316 0.281
Ag 0.500 0.000 0.500
Ag 0.535 0.816 0.850
Ag 0.684 0.535 0.719
Ag 0.816 0.966 0.281
Ag 0.966 0.684 0.150
C 0.000 0.000 0.000
C 0.084 0.919 0.500
C 0.419 0.584 0.500
C 0.500 0.500 0.000
C 0.584 0.084 0.164
C 0.919 0.419 0.836



Run c
## Ag5C3 (PBE)

Data for an optimized crystal structure of Ag5C3.

Values from the calculation:
* D(E_F): 0.642 states/eV per atom
* calculated volume: 13.749 A^3/atom

Cell lengths 2.916, 2.916, 12.938 Å; angles 90.00, 90.00, 90.00 degrees
Fractional positions:
Ag 0.000 0.000 0.000
Ag 0.000 0.000 0.222
Ag 0.000 0.000 0.778
Ag 0.500 0.500 0.390
Ag 0.500 0.500 0.610
C 0.000 0.000 0.500
C 0.500 0.500 0.120
C 0.500 0.500 0.880



Run d
## Ag5C3 (PBE)

Data for an optimized crystal structure of Ag5C3.

Values from the calculation:
* D(E_F): 0.541 states/eV per atom
* calculated volume: 14.531 A^3/atom

Cell lengths 6.206, 6.206, 3.136 Å; angles 90.00, 90.00, 105.74 degrees
Fractional positions:
Ag 0.000 0.000 0.000
Ag 0.000 0.500 0.000
Ag 0.306 0.306 0.500
Ag 0.500 0.000 0.000
Ag 0.694 0.694 0.500
C 0.181 0.819 0.500
C 0.500 0.500 0.000
C 0.819 0.181 0.500



The most stable arrangement is run a, and the next structure is 0.080 eV/atom less stable.